[1]
VASP calculation (PBE) on a relaxed structure of Tl2SbHPb.

Its energy above the most stable polymorph in this dataset is 9.1 meV/atom. The calculation puts the volume at 126.7 Å³/cell.

CIF file:
```
data_Tl2SbHPb
_chemical_formula_sum 'Tl2 Sb1 H1 Pb1'
_cell_length_a 5.431
_cell_length_b 5.431
_cell_length_c 4.296
_cell_angle_alpha 90.00
_cell_angle_beta 90.00
_cell_angle_gamma 90.00
_space_group_name_H-M_alt 'P 4/m m m'
_space_group_IT_number 123
_space_group_name_Hall '-P 4 2'
loop_
_atom_site_label
_atom_site_fract_x
_atom_site_fract_y
_atom_site_fract_z
_atom_site_occupancy
Tl1 0.000 0.500 0.000 1
Sb1 0.000 0.000 0.500 1
H1 0.000 0.000 0.000 1
Pb1 0.500 0.500 0.500 1
```

[2]
VASP calculation (PBE) on a relaxed structure of VSbH2Pb.

The calculation puts the volume at 95.0 Å³/cell. As for the total energy: -4.0696 eV per atom.

CIF file:
```
data_VSbH2Pb
_chemical_formula_sum 'V1 Sb1 H2 Pb1'
_cell_length_a 4.087
_cell_length_b 4.087
_cell_length_c 5.689
_cell_angle_alpha 90.00
_cell_angle_beta 90.00
_cell_angle_gamma 90.00
_space_group_name_H-M_alt 'P 4/m m m'
_space_group_IT_number 123
_space_group_name_Hall '-P 4 2'
loop_
_atom_site_label
_atom_site_fract_x
_atom_site_fract_y
_atom_site_fract_z
_atom_site_occupancy
V1 0.000 0.000 0.000 1
Sb1 0.500 0.500 0.500 1
H1 0.000 0.500 0.000 1
Pb1 0.000 0.000 0.500 1
```

[3]
VASP calculation (PBE) on a relaxed structure of SbHPbW2.

The calculation puts the volume at 154.7 Å³/cell. As for the total energy: -4.7594 eV per atom.

CIF file:
```
data_SbHPbW2
_chemical_formula_sum 'Sb1 H1 Pb1 W2'
_cell_length_a 5.069
_cell_length_b 5.069
_cell_length_c 6.020
_cell_angle_alpha 90.00
_cell_angle_beta 90.00
_cell_angle_gamma 90.00
_space_group_name_H-M_alt 'P 4/m m m'
_space_group_IT_number 123
_space_group_name_Hall '-P 4 2'
loop_
_atom_site_label
_atom_site_fract_x
_atom_site_fract_y
_atom_site_fract_z
_atom_site_occupancy
Sb1 0.000 0.000 0.000 1
H1 0.500 0.500 0.500 1
Pb1 0.000 0.000 0.500 1
W1 0.000 0.500 0.000 1
```

[4]
VASP calculation (PBE) on a relaxed structure of Sc2HPb.

Its energy above the most stable polymorph in this dataset is 138.8 meV/atom. The calculation puts the volume at 302.1 Å³/cell.

CIF file:
```
data_Sc2HPb
_chemical_formula_sum 'Sc8 H4 Pb4'
_cell_length_a 6.535
_cell_length_b 6.535
_cell_length_c 7.075
_cell_angle_alpha 90.00
_cell_angle_beta 90.00
_cell_angle_gamma 90.00
_space_group_name_H-M_alt 'I -4 2 d'
_space_group_IT_number 122
_space_group_name_Hall 'I -4 2bw'
loop_
_atom_site_label
_atom_site_fract_x
_atom_site_fract_y
_atom_site_fract_z
_atom_site_occupancy
Sc1 0.140 0.250 0.125 1
H1 0.000 0.000 0.000 1
Pb1 0.000 0.000 0.500 1
```